[1]
Entry from Alexandria via LeMat-Bulk: an optimized crystal structure of Cd2GaCoTe (PBE).

## Properties
As for the crystal system: tetragonal. For the uncorrected energy, the calculation gives -0.085 hartree per atom. As for the formation energy from raw total energies: 3.57 eV per formula unit.

Cell and atoms, written as POSCAR:
```
Cd2GaCoTe
1.0
-3.563 0.117 4.480
3.276 -1.960 2.657
1.954 5.191 1.419
Te Co Ga Cd
1 1 1 2
Cartesian
0.000 0.000 0.000
1.638 -0.980 1.328
0.834 1.674 4.278
0.977 2.595 0.710
-1.782 0.058 2.240
```

=====

[2]
Entry from Alexandria via LeMat-Bulk: an optimized crystal structure of TlCdGa2Co (PBE).

## Properties
As for the crystal system: tetragonal. As for the formation energy from the elements: 2 meV per atom. For the uncorrected energy, the calculation gives -0.121 hartree per atom.

Cell and atoms, written as POSCAR:
```
TlCdGa2Co
1.0
-2.610 -3.070 -2.246
2.534 -3.435 1.750
-3.156 -0.271 4.038
Tl Co Ga Cd
1 1 2 1
Cartesian
-1.616 -3.388 1.771
0.000 0.000 0.000
1.267 -1.717 0.875
-1.305 -1.535 -1.123
-1.578 -0.135 2.019
```

=====

[3]
Entry from Alexandria via LeMat-Bulk: an optimized crystal structure of TlCdGa2Co (PBE).

## Properties
As for the crystal system: tetragonal. As for the formation energy from the elements: 55 meV per atom. For the uncorrected energy, the calculation gives -0.119 hartree per atom.

Cell and atoms, written as POSCAR:
```
TlCdGa2Co
1.0
-3.222 2.762 -1.877
-0.030 -2.632 -3.822
-3.686 -2.915 2.037
Tl Co Ga Cd
1 1 2 1
Cartesian
-1.843 -1.458 1.019
0.000 0.000 0.000
-0.015 -1.316 -1.911
-1.611 1.381 -0.939
-3.469 -1.393 -1.831
```